[1]
Here is an optimized crystal structure of Pa2AgBi4 from Alexandria via LeMat-Bulk. Energies are from PBE.

Computed properties:
As for the space group: No. 115. Its formation energy from the elements is -0.76 eV/f.u.

a = 4.5509 Å, b = 4.5509 Å, c = 9.8242 Å
α = 90.00°, β = 90.00°, γ = 90.00°
Last column: magnetic moment on the atom in μB.
Positions (direct):
Pa (0.5000, 0.0000, 0.7551)  0.83
Pa (0.0000, 0.5000, 0.2449)  0.83
Ag (0.5000, 0.5000, 0.0000)  0.00
Bi (0.5000, 0.0000, 0.1780)  -0.03
Bi (0.0000, 0.5000, 0.8220)  -0.03
Bi (0.5000, 0.5000, 0.5000)  -0.01
Bi (0.0000, 0.0000, 0.5000)  -0.01



[2]
Here is an optimized crystal structure of KLiAgF4 from Alexandria via LeMat-Bulk. Energies are from PBE.

Computed properties:
As for the space group: No. 63. The raw formation energy is -2.00 eV/atom.

a = 5.2164 Å, b = 5.5830 Å, c = 7.1131 Å
α = 90.00°, β = 111.51°, γ = 90.00°
Last column: magnetic moment on the atom in μB.
Positions (direct):
K (0.1016, 0.2500, 0.2032)  0.00
K (0.8984, 0.7500, 0.7968)  0.00
Li (0.2338, 0.7500, 0.4676)  0.00
Li (0.7662, 0.2500, 0.5324)  0.00
Ag (0.6242, 0.7500, 0.2485)  0.45
Ag (0.3757, 0.2500, 0.7515)  0.45
F (0.9090, 0.2500, 0.8180)  0.15
F (0.4634, 0.7500, 0.9267)  0.20
F (0.0910, 0.7500, 0.1820)  0.15
F (0.5366, 0.2500, 0.0733)  0.20
F (0.5000, 0.5000, 0.5000)  0.11
F (0.0000, 0.0000, 0.5000)  0.11
F (0.5000, 0.0000, 0.5000)  0.11
F (0.0000, 0.5000, 0.5000)  0.11



Per-record DOS(E_F), states/eV/atom: 1.3969, 0.5972
Per-record DFT total energy, eV/atom: -5.447, -3.903